Material: SrMgO2
Method: DFT, PBE-GGA
State: optimized geometry

Summary:
**V**: 14.156 Å³/atom
**Formation energy without anion corrections**: -2.62 eV/atom
**E**: -5.919 eV per atom
**Spin magnetization**: 0.00 μB/atom

```
data_SrMgO2
_cell_length_a 3.861
_cell_length_b 3.861
_cell_length_c 7.596
_cell_angle_alpha 90.00
_cell_angle_beta 90.00
_cell_angle_gamma 90.00
_symmetry_space_group_name_H-M 'P 1'
_symmetry_Int_Tables_number 1
_symmetry_space_group_name_Hall 'P 1'
loop_
_atom_site_label
_atom_site_type_symbol
_atom_site_fract_x
_atom_site_fract_y
_atom_site_fract_z
Sr1 Sr 0.250 0.250 0.169
Sr2 Sr 0.750 0.750 0.831
Mg1 Mg 0.250 0.250 0.583
Mg2 Mg 0.750 0.750 0.417
O1 O 0.250 0.250 0.850
O2 O 0.250 0.750 0.500
O3 O 0.750 0.250 0.500
O4 O 0.750 0.750 0.150
```